1.
Crystalline DyHo2Sc at its relaxed geometry, computed with PBE.

Calculated values
Formation energy in meV/atom: 40
Space group: P4/mmm

Cell lengths 3.480, 3.480, 9.712 Å; angles 90.00, 90.00, 90.00 degrees
Sites, in units of the cell vectors:
Sc1 0.500 0.500 0.000
Ho1 0.000 0.000 0.761
Ho2 0.000 0.000 0.239
Dy1 0.500 0.500 0.500

---

2.
Crystalline Dy5Ho2Sc5 at its relaxed geometry, computed with PBE.

Calculated values
Formation energy in meV/atom: 81
Space group: C2/m

Cell lengths 5.393, 11.425, 6.362 Å; angles 93.40, 64.92, 76.35 degrees
Sites, in units of the cell vectors:
Dy1 0.669 0.291 0.371
Dy2 0.009 0.244 0.739
Dy3 0.991 0.756 0.261
Dy4 0.331 0.709 0.629
Dy5 0.000 0.000 0.000
Ho1 0.332 0.456 0.880
Ho2 0.668 0.544 0.120
Sc1 0.000 0.500 0.500
Sc2 0.659 0.799 0.882
Sc3 0.332 0.960 0.376
Sc4 0.668 0.040 0.624
Sc5 0.341 0.201 0.118

---

3.
Crystalline Dy12HoSc5 at its relaxed geometry, computed with PBE.

Calculated values
Formation energy in meV/atom: 34
Space group: C2/m

Cell lengths 6.031, 6.029, 16.895 Å; angles 86.59, 83.17, 59.99 degrees
Sites, in units of the cell vectors:
Dy1 0.887 0.000 0.338
Dy2 0.113 0.000 0.662
Dy3 0.719 0.000 0.835
Dy4 0.281 0.000 0.165
Dy5 0.392 0.663 0.835
Dy6 0.944 0.663 0.165
Dy7 0.056 0.337 0.835
Dy8 0.608 0.337 0.165
Dy9 0.446 0.333 0.661
Dy10 0.780 0.667 0.661
Dy11 0.220 0.333 0.339
Dy12 0.554 0.667 0.339
Ho1 0.000 0.000 0.000
Sc1 0.500 0.000 0.500
Sc2 0.166 0.668 0.500
Sc3 0.834 0.332 0.500
Sc4 0.667 0.666 0.000
Sc5 0.333 0.334 0.000

---

4.
Crystalline Dy6Ho2Sc at its relaxed geometry, computed with PBE.

Calculated values
Formation energy in meV/atom: 164
Space group: C2/c

Cell lengths 7.040, 9.448, 9.448 Å; angles 80.63, 71.38, 71.38 degrees
Sites, in units of the cell vectors:
Dy1 0.481 0.650 0.363
Dy2 0.019 0.637 0.350
Dy3 0.519 0.350 0.637
Dy4 0.981 0.363 0.650
Dy5 0.772 0.006 0.443
Dy6 0.728 0.557 0.994
Dy7 0.228 0.994 0.557
Dy8 0.272 0.443 0.006
Dy9 0.217 0.825 0.964
Dy10 0.283 0.036 0.175
Dy11 0.783 0.175 0.036
Dy12 0.717 0.964 0.825
Ho1 0.105 0.664 0.694
Ho2 0.395 0.306 0.336
Ho3 0.895 0.336 0.306
Ho4 0.605 0.694 0.664
Sc1 0.250 0.160 0.840
Sc2 0.750 0.840 0.160

---

5.
Crystalline DyHo4Sc at its relaxed geometry, computed with PBE.

Calculated values
Formation energy in meV/atom: 36
Space group: C2/m

Cell lengths 6.033, 6.034, 6.031 Å; angles 99.64, 80.36, 60.08 degrees
Sites, in units of the cell vectors:
Dy1 0.500 0.500 0.500
Ho1 0.333 0.333 0.000
Ho2 0.667 0.667 0.000
Ho3 0.835 0.835 0.500
Ho4 0.165 0.165 0.500
Sc1 0.000 0.000 0.000

---

6.
Crystalline Dy6Ho3Sc at its relaxed geometry, computed with PBE.

Calculated values
Formation energy in meV/atom: 143
Space group: Cmc2_1

Cell lengths 6.121, 10.853, 10.853 Å; angles 120.02, 90.00, 90.00 degrees
Sites, in units of the cell vectors:
Dy1 0.040 0.711 0.619
Dy2 0.540 0.619 0.711
Dy3 0.357 0.531 0.952
Dy4 0.857 0.952 0.531
Dy5 0.427 0.952 0.048
Dy6 0.645 0.277 0.723
Dy7 0.145 0.723 0.277
Dy8 0.927 0.048 0.952
Dy9 0.357 0.048 0.469
Dy10 0.857 0.469 0.048
Dy11 0.040 0.381 0.289
Dy12 0.540 0.289 0.381
Ho1 0.458 0.946 0.725
Ho2 0.958 0.725 0.946
Ho3 0.070 0.389 0.611
Ho4 0.570 0.611 0.389
Ho5 0.958 0.054 0.275
Ho6 0.458 0.275 0.054
Sc1 0.132 0.205 0.795
Sc2 0.632 0.795 0.205